(1)
This record from Alexandria via LeMat-Bulk describes Zr2Ga6Pd after structural relaxation. The functional is PBE.

The space group is Cmmm (No. 65) and the conventional cell measures 7.194, 14.331 and 3.222 Å, with angles of 90.00, 90.00 and 90.00 degrees. Symmetry generates all atoms from Zr at (0.000, 0.193, 0.000), Ga at (0.182, 0.342, 0.500), Ga at (0.199, 0.000, 0.000) and Pd at (0.000, 0.500, 0.500).

***

(2)
This record from Alexandria via LeMat-Bulk describes Zr3Ga4Pd after structural relaxation. The functional is PBE.

The space group is Immm (No. 71) and the conventional cell measures 2.964, 5.621 and 18.079 Å, with angles of 90.00, 90.00 and 90.00 degrees. Symmetry generates all atoms from Zr at (0.000, 0.000, 0.000), Zr at (0.000, 0.500, 0.242), Ga at (0.000, 0.247, 0.380) and Pd at (0.000, 0.000, 0.500).

***

(3)
This record from Alexandria via LeMat-Bulk describes Zr2GaPd after structural relaxation. The functional is PBE.

The space group is P4/mmm (No. 123) and the conventional cell measures 4.325, 4.325 and 4.005 Å, with angles of 90.00, 90.00 and 90.00 degrees. Symmetry generates all atoms from Zr at (0.000, 0.500, 0.000), Ga at (0.000, 0.000, 0.500) and Pd at (0.500, 0.500, 0.500).

***

(4)
This record from Alexandria via LeMat-Bulk describes ZrGa2Pd4 after structural relaxation. The functional is PBE.

The space group is I4/mmm (No. 139) and the conventional cell measures 4.981, 4.981 and 12.612 Å, with angles of 90.00, 90.00 and 90.00 degrees. Symmetry generates all atoms from Zr at (0.000, 0.000, 0.000), Ga at (0.000, 0.000, 0.394), Pd at (0.000, 0.000, 0.197) and Pd at (0.000, 0.500, 0.000).

***

(5)
This record from Alexandria via LeMat-Bulk describes Zr3Ga3Pd after structural relaxation. The functional is PBE.

The space group is C2/m (No. 12) and the conventional cell measures 10.377, 4.038 and 13.345 Å, with angles of 90.00, 109.31 and 90.00 degrees. Symmetry generates all atoms from Zr at (0.020, 0.000, 0.375), Zr at (0.110, 0.000, 0.923), Zr at (0.236, 0.000, 0.225), Ga at (0.018, 0.500, 0.228), Ga at (0.116, 0.500, 0.074), Ga at (0.125, 0.500, 0.548) and Pd at (0.232, 0.500, 0.396).

***

(6)
This record from Alexandria via LeMat-Bulk describes ZrGa2Pd8 after structural relaxation. The functional is PBE.

The space group is C2/m (No. 12) and the conventional cell measures 13.991, 4.123 and 6.493 Å, with angles of 90.00, 112.47 and 90.00 degrees. Symmetry generates all atoms from Zr at (0.000, 0.000, 0.000), Ga at (0.212, 0.500, 0.661), Pd at (0.038, 0.500, 0.729), Pd at (0.107, 0.000, 0.467), Pd at (0.154, 0.500, 0.219) and Pd at (0.179, 0.000, 0.930).

***

Number 1: DFT total energy -4.832 eV/atom. Number 2: DFT total energy -5.759 eV/atom. Number 3: DFT total energy -6.888 eV/atom. Number 4: DFT total energy -4.741 eV/atom. Number 5: DFT total energy -6.356 eV/atom. Number 6: DFT total energy -5.687 eV/atom.